Run w
The following is a DFT calculation (PBE) of an optimized crystal structure of Mg8Tl3Cd.

Results
**Total moment**: 0.0 Bohr magnetons per cell
**DOS(E_F)**: 2.61 states/eV/f.u.

abc: 8.9954 9.8370 9.0181
angles: 37.98 136.18 142.00
Fractional coordinates of all 12 atoms:
Mg 0.0949 0.0000 0.4002
Mg 0.3379 0.4937 0.6580
Mg 0.8442 0.5063 0.1518
Mg 0.6003 0.0000 0.9056
Mg 0.9053 0.0000 0.5999
Mg 0.6623 0.5062 0.3422
Mg 0.1561 0.4938 0.8484
Mg 0.3997 0.0000 0.0944
Tl 0.7500 0.5000 0.7501
Tl 0.2501 0.5000 0.2500
Tl 0.4998 0.0000 0.4998
Cd 0.9996 0.0000 0.9997

=====

Run x
The following is a DFT calculation (PBE) of an optimized crystal structure of Mg8Tl3Cd.

Results
**Total moment**: 0.0 Bohr magnetons per cell
**DOS(E_F)**: 6.45 states/eV/f.u.

abc: 7.6999 7.6999 7.6999
angles: 93.55 117.97 117.97
Fractional coordinates of all 12 atoms:
Mg 0.4873 0.2190 0.2190
Mg 0.5127 0.7317 0.7317
Mg 0.0000 0.7810 0.2683
Mg 0.0000 0.2683 0.7810
Mg 0.2655 0.3677 0.3677
Mg 0.7345 0.1021 0.1021
Mg 0.0000 0.6323 0.8979
Mg 0.0000 0.8979 0.6323
Tl 0.5000 0.7500 0.2500
Tl 0.5000 0.2500 0.7500
Tl 0.0000 0.5000 0.5000
Cd 0.0000 0.0000 0.0000

=====

On energetic grounds, run w is preferred over the next structure by 184 meV per atom.

=====

Run w
The following is a DFT calculation (PBE) of an optimized crystal structure of Mg7TlCd3.

Results
**Total moment**: 0.0 Bohr magnetons per cell
**DOS(E_F)**: 4.44 states/eV/f.u.

abc: 5.4005 7.5347 7.5347
angles: 89.82 111.09 111.09
Fractional coordinates of all 11 atoms:
Mg 0.1878 0.1838 0.1838
Mg 0.3245 0.0467 0.6006
Mg 0.6755 0.3994 0.9533
Mg 0.3245 0.6006 0.0467
Mg 0.0000 0.5000 0.5000
Mg 0.6755 0.9533 0.3994
Mg 0.8122 0.8162 0.8162
Tl 0.5000 0.5000 0.5000
Cd 0.0000 0.7733 0.2267
Cd 0.5000 0.0000 0.0000
Cd 0.0000 0.2267 0.7733

=====

Run x
The following is a DFT calculation (PBE) of an optimized crystal structure of Mg7TlCd3.

Results
**Total moment**: 0.0 Bohr magnetons per cell
**DOS(E_F)**: 3.75 states/eV/f.u.

abc: 3.2809 12.1835 13.1206
angles: 90.00 90.00 97.74
Fractional coordinates of all 22 atoms:
Mg 0.3136 0.6271 0.7500
Mg 0.6864 0.3729 0.2500
Mg 0.5453 0.0907 0.4073
Mg 0.4547 0.9093 0.5927
Mg 0.4547 0.9093 0.9073
Mg 0.5453 0.0907 0.0927
Mg 0.4048 0.8096 0.3810
Mg 0.5952 0.1904 0.6190
Mg 0.2714 0.5427 0.4077
Mg 0.7286 0.4573 0.5923
Mg 0.7286 0.4573 0.9077
Mg 0.2714 0.5427 0.0923
Mg 0.4048 0.8096 0.1190
Mg 0.5952 0.1904 0.8810
Tl 0.9867 0.9733 0.2500
Tl 0.0133 0.0267 0.7500
Cd 0.1502 0.3005 0.4409
Cd 0.8498 0.6995 0.5591
Cd 0.1749 0.3497 0.7500
Cd 0.8251 0.6503 0.2500
Cd 0.1502 0.3005 0.0591
Cd 0.8498 0.6995 0.9409

=====

On energetic grounds, run x is preferred over the next structure by 31 meV per atom.

=====

Run w
The following is a DFT calculation (PBE) of an optimized crystal structure of Mg6Tl3Cd2.

Results
**Total moment**: 0.0 Bohr magnetons per cell
**DOS(E_F)**: 4.18 states/eV/f.u.

abc: 3.4113 3.4113 26.5076
angles: 86.31 86.31 60.00
Fractional coordinates of all 11 atoms:
Mg 0.9073 0.9073 0.2780
Mg 0.0927 0.0927 0.7220
Mg 0.8179 0.8179 0.5464
Mg 0.1821 0.1821 0.4536
Mg 0.6358 0.6358 0.0926
Mg 0.3642 0.3642 0.9074
Tl 0.0000 0.0000 0.0000
Tl 0.7283 0.7283 0.8151
Tl 0.2717 0.2717 0.1849
Cd 0.5447 0.5447 0.3658
Cd 0.4553 0.4553 0.6342

=====

Run x
The following is a DFT calculation (PBE) of an optimized crystal structure of Mg6Tl3Cd2.

Results
**Total moment**: 0.0 Bohr magnetons per cell
**DOS(E_F)**: 4.84 states/eV/f.u.

abc: 4.3848 4.3848 15.2644
angles: 98.26 98.26 90.00
Fractional coordinates of all 11 atoms:
Mg 0.0679 0.5679 0.1358
Mg 0.5679 0.0679 0.1358
Mg 0.9321 0.4321 0.8642
Mg 0.4321 0.9321 0.8642
Mg 0.7295 0.7295 0.4589
Mg 0.2705 0.2705 0.5411
Tl 0.0000 0.0000 0.0000
Tl 0.8332 0.8332 0.6663
Tl 0.1668 0.1668 0.3337
Cd 0.3660 0.3660 0.7321
Cd 0.6340 0.6340 0.2679

=====

On energetic grounds, run w is preferred over the next structure by 94 meV per atom.

=====

Run w
The following is a DFT calculation (PBE) of an optimized crystal structure of Mg2TlCd9.

Results
**Total moment**: 0.0 Bohr magnetons per cell
**DOS(E_F)**: 5.92 states/eV/f.u.

abc: 4.5118 4.5118 13.6254
angles: 90.00 90.00 90.00
Fractional coordinates of all 12 atoms:
Mg 0.0000 0.0000 0.3391
Mg 0.0000 0.0000 0.6609
Tl 0.0000 0.0000 0.0000
Cd 0.5000 0.5000 0.0000
Cd 0.5000 0.5000 0.3401
Cd 0.5000 0.5000 0.6599
Cd 0.5000 0.0000 0.1800
Cd 0.5000 0.0000 0.5000
Cd 0.5000 0.0000 0.8200
Cd 0.0000 0.5000 0.1800
Cd 0.0000 0.5000 0.5000
Cd 0.0000 0.5000 0.8200

=====

Run x
The following is a DFT calculation (PBE) of an optimized crystal structure of Mg2TlCd9.

Results
**Total moment**: 0.0 Bohr magnetons per cell
**DOS(E_F)**: 4.41 states/eV/f.u.

abc: 3.1462 10.2161 10.2161
angles: 120.00 90.00 90.00
Fractional coordinates of all 12 atoms:
Mg 0.0000 0.3333 0.6667
Mg 0.0000 0.6667 0.3333
Tl 0.0000 0.0000 0.0000
Cd 0.0000 0.0000 0.5000
Cd 0.0000 0.5000 0.5000
Cd 0.0000 0.5000 0.0000
Cd 0.5000 0.3559 0.1779
Cd 0.5000 0.1779 0.8221
Cd 0.5000 0.1779 0.3559
Cd 0.5000 0.8221 0.6441
Cd 0.5000 0.8221 0.1779
Cd 0.5000 0.6441 0.8221

=====

On energetic grounds, run w is preferred over the next structure by 38 meV per atom.

=====

Run w
The following is a DFT calculation (PBE) of an optimized crystal structure of Mg6TlCd3.

Results
**Total moment**: 0.0 Bohr magnetons per cell
**DOS(E_F)**: 3.53 states/eV/f.u.

abc: 5.0775 8.4505 11.4059
angles: 113.14 90.00 90.00
Fractional coordinates of all 20 atoms:
Mg 0.7500 0.3404 0.6283
Mg 0.2500 0.6596 0.3717
Mg 0.7500 0.8116 0.1133
Mg 0.2500 0.1884 0.8867
Mg 0.7500 0.4976 0.2034
Mg 0.2500 0.5024 0.7966
Mg 0.7500 0.9033 0.4186
Mg 0.2500 0.0967 0.5814
Mg 0.7500 0.2164 0.3295
Mg 0.2500 0.7836 0.6705
Mg 0.7500 0.7380 0.8175
Mg 0.2500 0.2620 0.1825
Tl 0.7500 0.0285 0.7144
Tl 0.2500 0.9715 0.2856
Cd 0.7500 0.4330 0.9163
Cd 0.2500 0.5670 0.0837
Cd 0.7500 0.6094 0.5056
Cd 0.2500 0.3906 0.4944
Cd 0.7500 0.1179 0.0295
Cd 0.2500 0.8821 0.9705

=====

Run x
The following is a DFT calculation (PBE) of an optimized crystal structure of Mg6TlCd3.

Results
**Total moment**: 0.0 Bohr magnetons per cell
**DOS(E_F)**: 3.43 states/eV/f.u.

abc: 5.1484 8.4484 11.2500
angles: 113.57 90.00 90.00
Fractional coordinates of all 20 atoms:
Mg 0.2500 0.4592 0.0682
Mg 0.7500 0.5408 0.9318
Mg 0.2500 0.1578 0.1700
Mg 0.7500 0.8422 0.8300
Mg 0.2500 0.6627 0.6731
Mg 0.7500 0.3373 0.3269
Mg 0.2500 0.2698 0.4781
Mg 0.7500 0.7302 0.5219
Mg 0.2500 0.8490 0.2690
Mg 0.7500 0.1510 0.7310
Mg 0.2500 0.0734 0.8745
Mg 0.7500 0.9266 0.1255
Tl 0.2500 0.9601 0.5805
Tl 0.7500 0.0399 0.4195
Cd 0.2500 0.5460 0.3634
Cd 0.7500 0.4540 0.6366
Cd 0.2500 0.3804 0.7781
Cd 0.7500 0.6196 0.2219
Cd 0.2500 0.7748 0.9720
Cd 0.7500 0.2252 0.0280

=====

On energetic grounds, run x is preferred over the next structure by 9 meV per atom.